1.
The following is a DFT calculation (PBE-GGA) of a relaxed Tb4Ho5Er crystal.

Cell: 3.5370 6.7451 13.7955 Å, 97.68 90.40 105.03°
Space group P-1 (No. 2)
One atom of each set of equivalent atoms:
Tb  0.1310  0.2062  0.3081 (multiplicity 2)
Tb  0.1725  0.3244  0.7109 (multiplicity 2)
Ho  0.1888  0.3757  0.0842 (multiplicity 2)
Ho  0.4671  0.9191  0.1146 (multiplicity 2)
Ho  0.5000  0.0000  0.5000 (multiplicity 1)
Er  0.0000  0.5000  0.5000 (multiplicity 1)

Summary:
Calculated total energy in eV for the cell shown: -45.4
Distance to the lowest polymorph of the same formula in meV per atom: 0

=====

2.
The following is a DFT calculation (PBE-GGA) of a relaxed Tb4HoEr2 crystal.

Cell: 6.1182 6.4951 11.4486 Å, 90.00 105.22 90.00°
Space group P2_1/m (No. 11)
One atom of each set of equivalent atoms:
Tb  0.0309  0.2500  0.3607 (multiplicity 2)
Tb  0.1472  0.2500  0.9462 (multiplicity 2)
Tb  0.3479  0.5048  0.2131 (multiplicity 4)
Ho  0.1575  0.2500  0.6615 (multiplicity 2)
Er  0.2897  0.7500  0.9264 (multiplicity 2)
Er  0.3928  0.7500  0.5031 (multiplicity 2)

Summary:
Calculated total energy in eV for the cell shown: -62.5
Distance to the lowest polymorph of the same formula in meV per atom: 100

=====

3.
The following is a DFT calculation (PBE-GGA) of a relaxed Tb3Ho2Er4 crystal.

Cell: 6.0940 6.0997 9.2949 Å, 70.96 89.96 60.04°
Space group P-1 (No. 2)
One atom of each set of equivalent atoms:
Tb  0.0000  0.0000  0.0000 (multiplicity 1)
Tb  0.1112  0.4444  0.3332 (multiplicity 2)
Ho  0.4444  0.7780  0.3334 (multiplicity 2)
Er  0.2224  0.8883  0.6669 (multiplicity 2)
Er  0.3335  0.3334  0.0001 (multiplicity 2)

Summary:
Calculated total energy in eV for the cell shown: -41.1

=====

4.
The following is a DFT calculation (PBE-GGA) of a relaxed Tb2Ho3Er7 crystal.

Cell: 6.1037 5.4583 11.9105 Å, 90.00 92.37 90.00°
Space group P2/m (No. 10)
One atom of each set of equivalent atoms:
Tb  0.1081  0.0000  0.2808 (multiplicity 2)
Ho  0.0000  0.0000  0.0000 (multiplicity 1)
Ho  0.4519  0.5000  0.3363 (multiplicity 2)
Er  0.0614  0.5000  0.8226 (multiplicity 2)
Er  0.2670  0.0000  0.5483 (multiplicity 2)
Er  0.4139  0.0000  0.8346 (multiplicity 2)
Er  0.5000  0.5000  0.0000 (multiplicity 1)

Summary:
Calculated total energy in eV for the cell shown: -51.1
Distance to the lowest polymorph of the same formula in meV per atom: 210

=====

5.
The following is a DFT calculation (PBE-GGA) of a relaxed Tb2HoEr crystal.

Cell: 3.5574 3.5574 34.1811 Å, 90.00 90.00 120.00°
Space group R3m (No. 160, hexagonal axes)
One atom of each set of equivalent atoms:
Tb  0.0000  0.0000  0.0000 (multiplicity 3)
Tb  0.0000  0.0000  0.1663 (multiplicity 3)
Ho  0.0000  0.0000  0.4168 (multiplicity 3)
Er  0.0000  0.0000  0.5832 (multiplicity 3)

Summary:
Calculated total energy in eV for the cell shown: -55.1
Distance to the lowest polymorph of the same formula in meV per atom: 3

=====

6.
The following is a DFT calculation (PBE-GGA) of a relaxed Tb6HoEr crystal.

Cell: 6.5120 6.7182 6.8993 Å, 119.05 102.79 90.02°
Space group P-1 (No. 2)
One atom of each set of equivalent atoms:
Tb  0.2303  0.0747  0.4791 (multiplicity 2)
Tb  0.2503  0.0506  0.0004 (multiplicity 2)
Tb  0.2701  0.5959  0.5224 (multiplicity 2)
Ho  0.0000  0.5000  0.0000 (multiplicity 1)
Er  0.5000  0.5000  0.0000 (multiplicity 1)

Summary:
Calculated total energy in eV for the cell shown: -35.3
Distance to the lowest polymorph of the same formula in meV per atom: 183

=====

no.,energy relative to the elements (eV/atom)
1,0.06
2,0.14
3,0.02
4,0.32
5,0.01
6,0.20